# CoClF PBE+U relaxed
data_CoClF
_chemical_formula_sum 'Co4 Cl4 F4'
_space_group_name_H-M_alt 'C 1 c 1'
_space_group_IT_number 9
_space_group_name_Hall 'C -2yc'
_cell_length_a 8.773
_cell_length_b 8.475
_cell_length_c 6.122
_cell_angle_alpha 90.00
_cell_angle_beta 134.21
_cell_angle_gamma 90.00
loop_
_atom_site_label
_atom_site_type_symbol
_atom_site_fract_x
_atom_site_fract_y
_atom_site_fract_z
_atom_site_occupancy
Co1 Co 0.000 0.135 0.000 1
Cl1 Cl 0.001 0.120 0.625 1
F1 F 0.250 0.250 0.341 1
# Theoretical density ... 2.31 g/cm³
# Polymorph energy (0 for the lowest one) ... 3.8 kJ per mole of atoms
# VASP energy ... -4.358 eV per atom
# N(E_F) ... 0.00 states/eV per cell
# Crystal system ... monoclinic